Compound: LiBH4
Source: the Alexandria database
Functional: PBEsol
Structure: relaxed

```
12
Lattice="4.135 0.000 0.000 -2.068 3.581 0.000 0.000 0.000 7.200" Properties=species:S:1:pos:R:3 pbc="T T T"
H 2.068 1.194 4.553
H 0.000 2.387 0.953
H 3.066 0.617 2.912
H 1.069 0.617 2.912
H 2.068 2.347 2.912
H -0.999 2.964 6.513
H 0.999 2.964 6.513
H 0.000 1.234 6.513
B 2.068 1.194 3.334
B 0.000 2.387 6.934
Li 2.068 1.194 6.452
Li 0.000 2.387 2.852
```

Properties
As for the space group: P6_3mc, No. 186. As for the energy above the lowest structure with this stoichiometry: 33 meV/atom. The value obtained for the total magnetization is 0.00 μB/f.u.